# 1
First-principles (PBE) data for a relaxed structure of Tc2SbP, as listed in the Alexandria database.

Values from the calculation:
Polymorph energy (0 for the lowest one), meV/atom: 246
Symmetry: No. 10
M_tot, μB per atom: 0.000

Cell lengths 3.646, 3.173, 5.821 Å; angles 76.41, 90.00, 90.00 degrees
Fractional coordinates of all 4 atoms:
Tc: 0.000 0.369 0.783
Sb: 0.500 0.000 0.500
Tc: 0.000 0.631 0.217
P: 0.500 0.500 0.000

=====

# 2
First-principles (PBE) data for a relaxed structure of TcSb2P, as listed in the Alexandria database.

Values from the calculation:
Symmetry: No. 47
M_tot, μB per atom: 0.000

Cell lengths 3.432, 4.423, 5.225 Å; angles 90.00, 90.00, 90.00 degrees
Fractional coordinates of all 4 atoms:
Sb: 0.500 0.000 0.500
Tc: 0.500 0.500 0.000
P: 0.000 0.500 0.500
Sb: 0.000 0.000 0.000

=====

# 3
First-principles (PBE) data for a relaxed structure of TcSbP, as listed in the Alexandria database.

Values from the calculation:
Polymorph energy (0 for the lowest one), meV/atom: 247
Symmetry: No. 187
M_tot, μB per atom: 0.000

Cell lengths 4.234, 4.234, 3.399 Å; angles 90.00, 90.00, 120.00 degrees
Fractional coordinates of all 3 atoms:
P: 0.000 0.000 0.500
Sb: 0.667 0.333 0.000
Tc: 0.333 0.667 0.500

=====

# 4
First-principles (PBE) data for a relaxed structure of TcSb2P, as listed in the Alexandria database.

Values from the calculation:
Symmetry: No. 166
M_tot, μB per atom: 0.000

Cell lengths 7.741, 7.741, 7.741 Å; angles 26.12, 26.12, 26.12 degrees
Fractional coordinates of all 4 atoms:
Sb: 0.750 0.750 0.750
Sb: 0.250 0.250 0.250
Tc: 0.500 0.500 0.500
P: 0.000 0.000 0.000

=====

Raw formation energy per entry: 0.062, 0.674, 0.179, 0.297 eV/atom
Density per entry: 8.8, 7.8, 7.9, 7.8 g/cm3